Record 1
## Ta2FeHg (PBE-GGA)

Data for Ta2FeHg after structural relaxation.

formation enthalpy at 0 K	0.145	eV/atom
density of states at the Fermi level	4.8	states/eV/cell

abc: 2.8907 2.8907 8.0382
angles: 90.00 90.00 90.14
Positions (direct):
Fe: 0.5000 0.5000 0.2500
Hg: 0.5000 0.5000 0.7500
Ta: 0.0000 0.0000 0.0438
Ta: 0.0000 0.0000 0.4562



Record 2
## SmDyAgPd (PBE-GGA)

Data for SmDyAgPd after structural relaxation.

formation enthalpy at 0 K	-0.564	eV/atom
density of states at the Fermi level	4.1	states/eV/cell

abc: 3.5970 3.5970 7.2768
angles: 90.00 90.00 90.00
Positions (direct):
Sm: 0.5000 0.5000 0.1178
Pd: 0.0000 0.0000 0.3688
Ag: 0.0000 0.0000 0.8459
Dy: 0.5000 0.5000 0.5954